Here is an optimized crystal structure of Ag3AsPt from the Alexandria database. Energies are from GGA-PBEsol.

```
data_Ag3AsPt
_symmetry_space_group_name_H-M 'P 1'
_symmetry_Int_Tables_number 1
_symmetry_space_group_name_Hall 'P 1'
_cell_length_a 4.6808
_cell_length_b 4.6808
_cell_length_c 4.6808
_cell_angle_alpha 90.00
_cell_angle_beta 90.00
_cell_angle_gamma 90.00
loop_
_atom_site_label
_atom_site_fract_x
_atom_site_fract_y
_atom_site_fract_z
_atom_site_occupancy
Ag1 0.0000 0.0000 0.5000 1
Ag2 0.0000 0.5000 0.0000 1
Ag3 0.5000 0.0000 0.0000 1
As1 0.0000 0.0000 0.0000 1
Pt1 0.5000 0.5000 0.5000 1
```

Results
The formation energy is 797 meV/atom.